Here is crystalline Sm2Fe3Ru at its relaxed geometry from Alexandria. Energies are from PBE.

Total moment ... 6.31 μB per formula unit
N(E_F) ... 7.05 states/eV/f.u.
Electronic total energy ... -0.27255 Ha/atom

Cell and atoms, written as CIF:
```
data_Sm2Fe3Ru
_cell_length_a 5.2209
_cell_length_b 5.2209
_cell_length_c 13.1368
_cell_angle_alpha 90.00
_cell_angle_beta 90.00
_cell_angle_gamma 120.00
_symmetry_space_group_name_H-M 'R -3 m'
_symmetry_Int_Tables_number 166
_symmetry_space_group_name_Hall '-R 3 2"'
loop_
_atom_site_label
_atom_site_type_symbol
_atom_site_fract_x
_atom_site_fract_y
_atom_site_fract_z
Sm1 Sm 0.0000 0.0000 0.1251
Fe1 Fe 0.0000 0.5000 0.0000
Ru1 Ru 0.0000 0.0000 0.5000
```